Entry 1:
! PBE Fe2SeBr, relaxed; values from VASP
&SYSTEM
  ibrav = 0, nat = 16, ntyp = 3
/
ATOMIC_SPECIES
Fe 55.84 Fe.upf
Se 78.96 Se.upf
Br 79.90 Br.upf
CELL_PARAMETERS angstrom
6.598 0.000 0.000
0.000 6.598 0.000
0.000 0.000 6.598
ATOMIC_POSITIONS angstrom
Fe 0.000 0.000 0.000
Fe 0.000 3.299 3.299
Fe 1.650 1.650 1.650
Fe 1.650 4.949 4.949
Fe 3.299 0.000 3.299
Fe 3.299 3.299 0.000
Fe 4.949 1.650 4.949
Fe 4.949 4.949 1.650
Se 1.650 1.650 4.949
Se 1.650 4.949 1.650
Se 4.949 1.650 1.650
Se 4.949 4.949 4.949
Br 0.000 0.000 3.299
Br 0.000 3.299 0.000
Br 3.299 0.000 0.000
Br 3.299 3.299 3.299
! - Theoretical density: 6.256 g/cm3
! - Total moment: 6.77 μB/f.u.
! - Crystal system: cubic
! - SG: No. 216
! - Polymorph energy (0 for the lowest one): 994 meV/atom

---

Entry 2:
! PBE Ba2SrCaCu, relaxed; values from VASP
&SYSTEM
  ibrav = 0, nat = 5, ntyp = 4
/
ATOMIC_SPECIES
Ba 137.33 Ba.upf
Sr 87.62 Sr.upf
Ca 40.08 Ca.upf
Cu 63.55 Cu.upf
CELL_PARAMETERS angstrom
6.341 0.000 0.000
0.000 6.341 0.000
0.000 0.000 6.128
ATOMIC_POSITIONS angstrom
Ba 0.000 3.171 0.000
Ba 3.171 0.000 0.000
Sr 0.000 0.000 3.064
Ca 3.171 3.171 3.064
Cu 0.000 0.000 0.000
! - Theoretical density: 3.140 g/cm3
! - Total moment: 0.00 μB/f.u.
! - Crystal system: tetragonal
! - SG: No. 123
! - Polymorph energy (0 for the lowest one): 22 meV/atom
! - E_form: 3 kJ/mol of atoms

---

Entry 3:
! PBE RbZnIBr2, relaxed; values from VASP
&SYSTEM
  ibrav = 0, nat = 5, ntyp = 4
/
ATOMIC_SPECIES
Rb 85.47 Rb.upf
Zn 65.41 Zn.upf
I 126.90 I.upf
Br 79.90 Br.upf
CELL_PARAMETERS angstrom
5.359 0.000 0.000
0.000 5.359 0.000
0.000 0.000 5.727
ATOMIC_POSITIONS angstrom
Rb 0.000 0.000 0.000
Zn 2.680 2.680 2.864
I 2.680 2.680 0.000
Br 0.000 2.680 2.864
Br 2.680 0.000 2.864
! - Theoretical density: 4.418 g/cm3
! - Total moment: 0.00 μB/f.u.
! - Crystal system: tetragonal
! - SG: No. 123
! - Polymorph energy (0 for the lowest one): 129 meV/atom

---

Entry 4:
! PBE Y3Ho2Th, relaxed; values from VASP
&SYSTEM
  ibrav = 0, nat = 12, ntyp = 3
/
ATOMIC_SPECIES
Y 88.91 Y.upf
Ho 164.93 Ho.upf
Th 232.04 Th.upf
CELL_PARAMETERS angstrom
6.145 -2.911 0.000
6.145 2.911 0.000
-3.498 0.000 10.753
ATOMIC_POSITIONS angstrom
Y 0.476 0.000 3.099
Y -1.810 0.000 10.342
Y 2.705 0.000 5.685
Y 6.087 0.000 5.068
Y 10.602 0.000 0.411
Y 8.316 0.000 7.654
Ho -0.604 0.000 6.746
Ho 1.482 0.000 9.538
Ho 7.311 0.000 1.216
Ho 9.397 0.000 4.007
Th 4.047 0.000 2.296
Th 4.745 0.000 8.457
! - Theoretical density: 7.153 g/cm3
! - Total moment: 0.00 μB/f.u.
! - Crystal system: monoclinic
! - SG: No. 12
! - Polymorph energy (0 for the lowest one): 0 meV/atom
! - E_form: 12 kJ/mol of atoms

---

Entry 5:
! PBE Li2PrTmS4, relaxed; values from VASP
&SYSTEM
  ibrav = 0, nat = 8, ntyp = 4
/
ATOMIC_SPECIES
Li 6.94 Li.upf
Pr 140.91 Pr.upf
Tm 168.93 Tm.upf
S 32.06 S.upf
CELL_PARAMETERS angstrom
6.607 0.000 0.000
0.000 3.977 0.000
-2.403 0.000 6.466
ATOMIC_POSITIONS angstrom
Li 0.000 0.000 0.000
Li -1.202 1.988 3.233
Pr 2.102 0.000 3.233
Tm 3.304 1.988 0.000
S 1.051 1.988 1.520
S -0.179 0.000 4.925
S 4.383 0.000 1.541
S 3.153 1.988 4.946
! - Theoretical density: 4.418 g/cm3
! - Total moment: 0.00 μB/f.u.
! - Crystal system: monoclinic
! - SG: No. 10
! - Electronic total energy: -5.50 eV per atom

---

Entry 6:
! PBE LiAlSe2, relaxed; values from VASP
&SYSTEM
  ibrav = 0, nat = 8, ntyp = 3
/
ATOMIC_SPECIES
Li 6.94 Li.upf
Al 26.98 Al.upf
Se 78.96 Se.upf
CELL_PARAMETERS angstrom
3.529 0.000 0.000
0.000 7.347 0.000
0.000 0.000 8.531
ATOMIC_POSITIONS angstrom
Li 0.000 0.000 0.000
Li 1.765 3.674 4.266
Al 0.000 3.674 0.000
Al 1.765 0.000 4.266
Se 0.000 1.688 4.266
Se 0.000 5.660 4.266
Se 1.765 1.986 0.000
Se 1.765 5.362 0.000
! - Theoretical density: 2.880 g/cm3
! - Total moment: 0.00 μB/f.u.
! - Crystal system: orthorhombic
! - SG: No. 71
! - Electronic total energy: -3.86 eV per atom

---

Entry 7:
! PBE CdPb2W, relaxed; values from VASP
&SYSTEM
  ibrav = 0, nat = 8, ntyp = 3
/
ATOMIC_SPECIES
Cd 112.41 Cd.upf
Pb 207.20 Pb.upf
W 183.84 W.upf
CELL_PARAMETERS angstrom
3.645 0.000 0.000
0.000 4.969 0.000
0.000 0.000 11.314
ATOMIC_POSITIONS angstrom
Cd 0.000 0.000 0.000
Cd 1.823 2.485 0.000
Pb 0.000 2.485 3.303
Pb 0.000 2.485 8.010
Pb 1.823 0.000 3.303
Pb 1.823 0.000 8.010
W 0.000 0.000 5.657
W 1.823 2.485 5.657
! - Theoretical density: 11.516 g/cm3
! - Total moment: 0.00 μB/f.u.
! - Crystal system: orthorhombic
! - SG: No. 65
! - E_form: 61 kJ/mol of atoms

---

Entry 8:
! PBE BaLaIn, relaxed; values from VASP
&SYSTEM
  ibrav = 0, nat = 6, ntyp = 3
/
ATOMIC_SPECIES
Ba 137.33 Ba.upf
La 138.91 La.upf
In 114.82 In.upf
CELL_PARAMETERS angstrom
4.022 0.000 0.000
0.000 4.437 0.000
-0.014 0.000 13.413
ATOMIC_POSITIONS angstrom
Ba 1.003 1.109 1.887
Ba 3.005 3.328 11.525
La 1.003 1.109 5.654
La 3.006 3.328 7.759
In 0.994 1.109 9.303
In 3.015 3.328 4.109
! - Theoretical density: 5.425 g/cm3
! - Total moment: 0.08 μB/f.u.
! - Crystal system: monoclinic
! - SG: No. 11
! - Polymorph energy (0 for the lowest one): 4 meV/atom
! - E_form: -31 kJ/mol of atoms

---

Entry 9:
! PBE ZrCoRh3, relaxed; values from VASP
&SYSTEM
  ibrav = 0, nat = 5, ntyp = 3
/
ATOMIC_SPECIES
Zr 91.22 Zr.upf
Co 58.93 Co.upf
Rh 102.91 Rh.upf
CELL_PARAMETERS angstrom
4.449 0.000 0.000
0.000 4.449 0.000
0.000 0.000 4.449
ATOMIC_POSITIONS angstrom
Zr 0.000 0.000 0.000
Co 2.224 2.224 2.224
Rh 0.000 2.224 2.224
Rh 2.224 0.000 2.224
Rh 2.224 2.224 0.000
! - Theoretical density: 8.655 g/cm3
! - Total moment: 3.24 μB/f.u.
! - Crystal system: cubic
! - SG: No. 221
! - Polymorph energy (0 for the lowest one): 0 meV/atom
! - E_form: 39 kJ/mol of atoms

---

Entry 10:
! PBE Nd2YHo9, relaxed; values from VASP
&SYSTEM
  ibrav = 0, nat = 12, ntyp = 3
/
ATOMIC_SPECIES
Nd 144.24 Nd.upf
Y 88.91 Y.upf
Ho 164.93 Ho.upf
CELL_PARAMETERS angstrom
5.028 0.000 0.000
0.000 5.028 0.000
0.000 0.000 15.086
ATOMIC_POSITIONS angstrom
Nd 0.000 0.000 2.518
Nd 0.000 0.000 12.568
Y 0.000 0.000 7.543
Ho 0.000 2.514 0.000
Ho 0.000 2.514 5.045
Ho 0.000 2.514 10.041
Ho 2.514 0.000 0.000
Ho 2.514 0.000 5.045
Ho 2.514 0.000 10.041
Ho 2.514 2.514 2.526
Ho 2.514 2.514 7.543
Ho 2.514 2.514 12.560
! - Theoretical density: 8.106 g/cm3
! - Total moment: 0.00 μB/f.u.
! - Crystal system: tetragonal
! - SG: No. 123
! - Polymorph energy (0 for the lowest one): 0 meV/atom
! - E_form: 2 kJ/mol of atoms

---

Entry 11:
! PBE Ti4AsSe5, relaxed; values from VASP
&SYSTEM
  ibrav = 0, nat = 10, ntyp = 3
/
ATOMIC_SPECIES
Ti 47.87 Ti.upf
As 74.92 As.upf
Se 78.96 Se.upf
CELL_PARAMETERS angstrom
7.888 -1.797 0.000
7.888 1.797 0.000
-1.429 0.000 7.271
ATOMIC_POSITIONS angstrom
Ti -0.312 0.000 1.757
Ti 3.923 0.000 6.732
Ti 10.424 0.000 0.539
Ti 14.658 0.000 5.514
As 7.888 0.000 0.000
Se 2.139 0.000 2.341
Se 1.491 0.000 5.949
Se 7.173 0.000 3.635
Se 12.855 0.000 1.322
Se 12.208 0.000 4.930
! - Theoretical density: 5.326 g/cm3
! - Total moment: 0.00 μB/f.u.
! - Crystal system: monoclinic
! - SG: No. 12
! - Electronic total energy: -6.41 eV per atom

---

Entry 12:
! PBE InPdRu3, relaxed; values from VASP
&SYSTEM
  ibrav = 0, nat = 5, ntyp = 3
/
ATOMIC_SPECIES
In 114.82 In.upf
Pd 106.42 Pd.upf
Ru 101.07 Ru.upf
CELL_PARAMETERS angstrom
4.761 0.000 0.000
0.000 4.761 0.000
0.000 0.000 4.761
ATOMIC_POSITIONS angstrom
In 0.000 0.000 0.000
Pd 2.380 2.380 2.380
Ru 0.000 2.380 2.380
Ru 2.380 0.000 2.380
Ru 2.380 2.380 0.000
! - Theoretical density: 8.072 g/cm3
! - Total moment: 5.54 μB/f.u.
! - Crystal system: cubic
! - SG: No. 221
! - Polymorph energy (0 for the lowest one): 0 meV/atom
! - E_form: 166 kJ/mol of atoms

---

Entry 13:
! PBE AlV4Re, relaxed; values from VASP
&SYSTEM
  ibrav = 0, nat = 6, ntyp = 3
/
ATOMIC_SPECIES
Al 26.98 Al.upf
V 50.94 V.upf
Re 186.21 Re.upf
CELL_PARAMETERS angstrom
3.073 0.000 0.000
0.000 3.073 0.000
0.000 0.000 8.847
ATOMIC_POSITIONS angstrom
Al 0.000 0.000 0.000
V 0.000 0.000 2.911
V 0.000 0.000 5.937
V 1.536 1.536 1.533
V 1.536 1.536 7.314
Re 1.536 1.536 4.424
! - Theoretical density: 8.288 g/cm3
! - Total moment: 0.00 μB/f.u.
! - Crystal system: tetragonal
! - SG: No. 123
! - Polymorph energy (0 for the lowest one): 0 meV/atom
! - E_form: -19 kJ/mol of atoms